No. 1
The following is a GGA-PBE calculation of a geometry-optimized La8Pm6Tl structure, from Alexandria.

As for the space group: P-3, No. 147. The uncorrected energy comes out at -4.628 eV/atom. The total magnetization comes out at 0.000 μB/f.u. The value obtained for the density of states at the Fermi level is 21.98 states/eV/cell. For the formation energy, the calculation gives 0.058 eV per atom.

POSCAR file:
```
La8Pm6Tl
1.0
-0.1630 -5.0128 4.5605
-6.0235 -4.8262 -5.5202
9.3587 -1.2112 -0.9969
Pm La Tl
6 8 1
Direct
0.6587 0.9041 0.5569
0.6587 0.6528 0.0959
0.3413 0.3472 0.9041
0.6587 0.4431 0.3472
0.3413 0.0959 0.4431
0.3413 0.5569 0.6528
0.8254 0.0458 0.2750
0.1746 0.7708 0.0458
0.1262 0.6667 0.3333
0.1746 0.2750 0.2292
0.8738 0.3333 0.6667
0.8254 0.7250 0.7708
0.8254 0.2292 0.9542
0.1746 0.9542 0.7250
0.5000 0.0000 0.0000
```


No. 2
The following is a GGA-PBE calculation of a geometry-optimized VBP3 structure, from Alexandria.

As for the space group: Pm-3m, No. 221. As for the relative energy among the computed polymorphs: 341 meV per atom. The uncorrected energy comes out at -5.273 eV/atom. The total magnetization comes out at 0.000 μB/f.u. The value obtained for the density of states at the Fermi level is 2.16 states/eV/cell. For the formation energy, the calculation gives 1.132 eV per atom.

POSCAR file:
```
VBP3
1.0
-1.9253 -3.8463 -1.3055
3.0415 -2.3228 2.3578
-2.6922 0.1266 3.5974
P B V
3 1 1
Direct
0.5000 0.0000 0.0000
0.0000 0.0000 0.5000
0.0000 0.5000 0.0000
0.5000 0.5000 0.5000
0.0000 0.0000 0.0000
```


No. 3
The following is a GGA-PBE calculation of a geometry-optimized Tm6C2SeS3 structure, from Alexandria.

The value obtained for the formation energy (no corrections) is -1.514 eV/atom. As for the space group: C2/m, No. 12. The uncorrected energy comes out at -6.609 eV/atom. The total magnetization comes out at 0.000 μB/f.u. The value obtained for the density of states at the Fermi level is 3.10 states/eV/cell.

POSCAR file:
```
Tm6C2SeS3
1.0
3.7291 0.0000 0.0000
0.0000 7.7140 0.2918
-1.8645 -2.2029 7.9590
S Tm C Se
3 6 2 1
Direct
0.1610 0.8355 0.3221
0.5000 0.5000 0.0000
0.8390 0.1645 0.6779
0.6741 0.1266 0.3482
0.9810 0.7280 0.9619
0.6763 0.5636 0.3525
0.3259 0.8734 0.6518
0.0190 0.2720 0.0381
0.3237 0.4364 0.6475
0.1693 0.3369 0.3385
0.8307 0.6631 0.6615
0.5000 0.0000 0.0000
```


No. 4
The following is a GGA-PBE calculation of a geometry-optimized KBa2Re structure, from Alexandria.

As for the space group: P2/m, No. 10. As for the relative energy among the computed polymorphs: 0 meV per atom. The uncorrected energy comes out at -3.506 eV/atom. The total magnetization comes out at 0.865 μB/f.u. The value obtained for the density of states at the Fermi level is 4.19 states/eV/cell. For the formation energy, the calculation gives 0.842 eV per atom.

POSCAR file:
```
KBa2Re
1.0
-0.0920 3.6382 1.1135
-2.2690 0.8408 -2.9346
-11.6193 -1.4312 3.7165
Ba Re K
2 1 1
Direct
0.0000 0.0889 0.9144
0.0000 0.4111 0.5856
0.5000 0.7500 0.7500
0.5000 0.2500 0.2500
```


No. 5
The following is a GGA-PBE calculation of a geometry-optimized BaNaCa2P structure, from Alexandria.

As for the space group: P4/mmm, No. 123. The uncorrected energy comes out at -2.998 eV/atom. The total magnetization comes out at 0.649 μB/f.u. The value obtained for the density of states at the Fermi level is 5.27 states/eV/cell. For the formation energy, the calculation gives -0.467 eV per atom.

POSCAR file:
```
BaNaCa2P
1.0
-4.6741 2.0852 2.3802
-1.8913 -5.2448 0.8807
2.8818 -0.0776 5.7269
Ca P Na Ba
2 1 1 1
Direct
0.0000 0.5000 0.0000
0.5000 0.0000 0.0000
0.0000 0.0000 0.0000
0.5000 0.5000 0.5000
0.0000 0.0000 0.5000
```


No. 6
The following is a GGA-PBE calculation of a geometry-optimized Na2LiS structure, from Alexandria.

The value obtained for the formation energy (no corrections) is -0.366 eV/atom. As for the space group: I-42d, No. 122. The uncorrected energy comes out at -2.536 eV/atom. The total magnetization comes out at 0.321 μB/f.u. The value obtained for the density of states at the Fermi level is 3.19 states/eV/cell.

POSCAR file:
```
Na2LiS
1.0
-1.6726 0.0447 -3.8725
-3.8727 0.0101 1.6728
-2.7082 10.0903 -1.0115
S Li Na
2 2 4
Direct
0.7500 0.2500 0.5000
0.0000 0.0000 0.0000
0.5000 0.5000 0.0000
0.2500 0.7500 0.5000
0.8750 0.9081 0.7500
0.3750 0.3419 0.7500
0.6581 0.1250 0.2500
0.0919 0.6250 0.2500
```